LiCoCu2 | PBE | optimized geometry

```
data_LiCoCu2
_symmetry_space_group_name_H-M 'P 4/m m m'
_symmetry_Int_Tables_number 123
_symmetry_space_group_name_Hall '-P 4 2'
_cell_length_a 2.491
_cell_length_b 2.491
_cell_length_c 7.800
_cell_angle_alpha 90.00
_cell_angle_beta 90.00
_cell_angle_gamma 90.00
loop_
_atom_site_label
_atom_site_type_symbol
_atom_site_fract_x
_atom_site_fract_y
_atom_site_fract_z
Li1 Li 0.000 0.000 0.000
Co1 Co 0.000 0.000 0.500
Cu1 Cu 0.500 0.500 0.261
```

Properties
- Calculated formation energy: 0.0849 eV per atom
- Total magnetic moment: 1.71 μB per formula unit
- Energy above the most stable polymorph in this dataset: 22 meV per atom


LiCoCu2 | PBE | optimized geometry

```
data_LiCoCu2
_symmetry_space_group_name_H-M 'P m m 2'
_symmetry_Int_Tables_number 25
_cell_length_a 2.503
_cell_length_b 4.229
_cell_length_c 4.425
_cell_angle_alpha 90.00
_cell_angle_beta 90.00
_cell_angle_gamma 90.00
loop_
_symmetry_equiv_pos_as_xyz
'x,y,z'
'-x,-y,z'
'-x,y,z'
'x,-y,z'
loop_
_atom_site_label
_atom_site_type_symbol
_atom_site_fract_x
_atom_site_fract_y
_atom_site_fract_z
Li1 Li 0.000 0.000 0.000
Co1 Co 0.000 0.500 0.642
Cu1 Cu 0.500 0.000 0.507
Cu2 Cu 0.500 0.500 0.149
```

Properties
- Calculated formation energy: 0.0708 eV per atom
- Total magnetic moment: 1.40 μB per formula unit
- Energy above the most stable polymorph in this dataset: 8 meV per atom


Li3CoCu | PBE | optimized geometry

```
data_Li3CoCu
_symmetry_space_group_name_H-M 'P m -3 m'
_symmetry_Int_Tables_number 221
_symmetry_space_group_name_Hall '-P 4 2 3'
_cell_length_a 4.491
_cell_length_b 4.491
_cell_length_c 4.491
_cell_angle_alpha 90.00
_cell_angle_beta 90.00
_cell_angle_gamma 90.00
loop_
_atom_site_label
_atom_site_type_symbol
_atom_site_fract_x
_atom_site_fract_y
_atom_site_fract_z
Li1 Li 0.000 0.000 0.500
Co1 Co 0.500 0.500 0.500
Cu1 Cu 0.000 0.000 0.000
```

Properties
- Calculated formation energy: 0.7050 eV per atom
- Total magnetic moment: 1.60 μB per formula unit
- Energy above the most stable polymorph in this dataset: 0 meV per atom


LiCoCu | PBE | optimized geometry

```
data_LiCoCu
_symmetry_space_group_name_H-M 'F -4 3 m'
_symmetry_Int_Tables_number 216
_symmetry_space_group_name_Hall 'F -4 2 3'
_cell_length_a 5.576
_cell_length_b 5.576
_cell_length_c 5.576
_cell_angle_alpha 90.00
_cell_angle_beta 90.00
_cell_angle_gamma 90.00
loop_
_atom_site_label
_atom_site_type_symbol
_atom_site_fract_x
_atom_site_fract_y
_atom_site_fract_z
Li1 Li 0.000 0.000 0.000
Co1 Co 0.000 0.000 0.500
Cu1 Cu 0.250 0.250 0.750
```

Properties
- Calculated formation energy: 0.5965 eV per atom
- Total magnetic moment: 1.80 μB per formula unit
- Energy above the most stable polymorph in this dataset: 494 meV per atom


> The lowest calculated formation energy belongs to which entry?

number 2


> total magnetic moment of number 2 (LiCoCu2)?

1.40 μB per formula unit


> Which of these has the highest energy above the most stable polymorph in this dataset?

LiCoCu


> Which formula does entry 4 have?

LiCoCu